No. 1
The following is a meta-GGA SCAN calculation of SrAl2In at its PBEsol-relaxed geometry, from Alexandria.

Computed properties:
Energy relative to the elements = -0.03 eV per atom
Spin magnetization = 0.00 μB/f.u.

abc: 10.182 10.182 10.182
angles: 151.43 151.43 40.85
Fractional positions:
Sr1 0.000 0.000 0.000
Sr2 0.750 0.250 0.500
Al1 0.331 0.625 0.206
Al2 0.375 0.581 0.706
Al3 0.419 0.125 0.794
Al4 0.875 0.669 0.294
In1 0.250 0.750 0.500
In2 0.500 0.500 0.000

---

No. 2
The following is a meta-GGA SCAN calculation of SrAlIn at its PBEsol-relaxed geometry, from Alexandria.

Computed properties:
Energy relative to the elements = -0.39 eV per atom
Spin magnetization = 0.00 μB/f.u.

abc: 4.775 4.775 4.120
angles: 90.00 90.00 120.00
Fractional positions:
Sr1 0.000 0.000 0.000
Al1 0.667 0.333 0.500
In1 0.333 0.667 0.500

---

No. 3
The following is a meta-GGA SCAN calculation of SrAlIn2 at its PBEsol-relaxed geometry, from Alexandria.

Computed properties:
Energy relative to the elements = -0.18 eV per atom
Spin magnetization = 0.00 μB/f.u.

abc: 5.240 5.240 5.240
angles: 60.00 60.00 60.00
Fractional positions:
Sr1 0.000 0.000 0.000
Al1 0.500 0.500 0.500
In1 0.250 0.250 0.250
In2 0.750 0.750 0.750

---

No. 4
The following is a meta-GGA SCAN calculation of Sr2Al2In at its PBEsol-relaxed geometry, from Alexandria.

Computed properties:
Energy relative to the elements = -0.30 eV per atom
Spin magnetization = 0.00 μB/f.u.

abc: 6.147 6.147 8.631
angles: 100.47 100.47 62.50
Fractional positions:
Sr1 0.016 0.279 0.149
Sr2 0.279 0.016 0.649
Sr3 0.721 0.984 0.351
Sr4 0.984 0.721 0.851
Al1 0.224 0.497 0.497
Al2 0.497 0.224 0.997
Al3 0.503 0.776 0.003
Al4 0.776 0.503 0.503
In1 0.377 0.623 0.250
In2 0.623 0.377 0.750

---

No. 5
The following is a meta-GGA SCAN calculation of SrAl2In at its PBEsol-relaxed geometry, from Alexandria.

Computed properties:
Energy relative to the elements = -0.14 eV per atom
Spin magnetization = 0.00 μB/f.u.

abc: 4.582 4.582 6.301
angles: 111.23 111.23 59.87
Fractional positions:
Sr1 0.000 0.000 0.000
Al1 0.218 0.218 0.653
Al2 0.782 0.782 0.347
In1 0.500 0.500 0.500

---

No. 6
The following is a meta-GGA SCAN calculation of SrAl3In at its PBEsol-relaxed geometry, from Alexandria.

Computed properties:
Energy relative to the elements = 1.41 eV per atom
Spin magnetization = 0.00 μB/f.u.

abc: 5.761 5.761 5.761
angles: 90.00 90.00 90.00
Fractional positions:
Sr1 0.000 0.000 0.000
Al1 0.000 0.000 0.500
Al2 0.000 0.500 0.000
Al3 0.500 0.000 0.000
In1 0.500 0.500 0.500

---

No. 7
The following is a meta-GGA SCAN calculation of Sr2TiAlIn at its PBEsol-relaxed geometry, from Alexandria.

Computed properties:
Energy relative to the elements = 0.55 eV per atom
Spin magnetization = 3.30 μB/f.u.

abc: 5.806 5.806 5.064
angles: 90.00 90.00 90.00
Fractional positions:
Sr1 0.000 0.500 0.000
Sr2 0.500 0.000 0.000
Ti1 0.000 0.000 0.000
Al1 0.000 0.000 0.500
In1 0.500 0.500 0.500

---

No. 8
The following is a meta-GGA SCAN calculation of Ta2AlIn at its PBEsol-relaxed geometry, from Alexandria.

Computed properties:
Energy relative to the elements = -0.05 eV per atom
Spin magnetization = 0.00 μB/f.u.

abc: 2.858 4.343 5.707
angles: 90.00 95.32 90.00
Fractional positions:
Ta1 0.037 0.000 0.264
Ta2 0.963 0.000 0.736
Al1 0.500 0.500 0.500
In1 0.500 0.500 0.000

---

No. 9
The following is a meta-GGA SCAN calculation of Ta2AlIn at its PBEsol-relaxed geometry, from Alexandria.

Computed properties:
Energy relative to the elements = 0.06 eV per atom
Spin magnetization = 0.00 μB/f.u.

abc: 2.919 2.919 8.893
angles: 90.00 90.00 106.28
Fractional positions:
Ta1 0.000 0.000 0.000
Ta2 0.500 0.500 0.246
Al1 0.000 0.000 0.476
In1 0.500 0.500 0.736

---

No. 10
The following is a meta-GGA SCAN calculation of TaAlIn4 at its PBEsol-relaxed geometry, from Alexandria.

Computed properties:
Energy relative to the elements = 0.59 eV per atom
Spin magnetization = 0.00 μB/f.u.

abc: 5.654 5.654 5.654
angles: 60.00 60.00 60.00
Fractional positions:
Ta1 0.000 0.000 0.000
Al1 0.750 0.750 0.750
In1 0.375 0.375 0.375
In2 0.375 0.375 0.876
In3 0.375 0.876 0.375
In4 0.876 0.375 0.375

---

No. 11
The following is a meta-GGA SCAN calculation of Ta2AlIn at its PBEsol-relaxed geometry, from Alexandria.

Computed properties:
Energy relative to the elements = -0.01 eV per atom
Spin magnetization = 0.00 μB/f.u.

abc: 3.500 3.500 5.968
angles: 90.00 90.00 90.00
Fractional positions:
Ta1 0.000 0.000 0.000
Ta2 0.500 0.500 0.205
Al1 0.000 0.000 0.461
In1 0.500 0.500 0.711

---

No. 12
The following is a meta-GGA SCAN calculation of TaAl2In at its PBEsol-relaxed geometry, from Alexandria.

Computed properties:
Energy relative to the elements = 0.04 eV per atom
Spin magnetization = 0.00 μB/f.u.

abc: 2.858 2.858 8.819
angles: 90.00 90.00 90.00
Fractional positions:
Ta1 0.000 0.000 0.000
Al1 0.000 0.000 0.535
Al2 0.500 0.500 0.773
In1 0.500 0.500 0.261

---

No. 13
The following is a meta-GGA SCAN calculation of TaAlIn2Te at its PBEsol-relaxed geometry, from Alexandria.

Computed properties:
Formation energy (no corrections) = 292 kJ/mol of formula units
Spin magnetization = 0.00 μB/f.u.

abc: 5.397 5.397 5.206
angles: 90.00 90.00 90.00
Fractional positions:
Ta1 0.000 0.000 0.000
Al1 0.500 0.500 0.500
In1 0.000 0.500 0.000
In2 0.500 0.000 0.000
Te1 0.000 0.000 0.500

---

No. 14
The following is a meta-GGA SCAN calculation of AlIn2Tc at its PBEsol-relaxed geometry, from Alexandria.

Computed properties:
Energy relative to the elements = 0.29 eV per atom
Spin magnetization = 0.01 μB/f.u.

abc: 2.915 4.946 5.044
angles: 90.00 93.25 90.00
Fractional positions:
Al1 0.000 0.000 0.000
In1 0.231 0.500 0.256
In2 0.769 0.500 0.744
Tc1 0.500 0.000 0.500

---

No. 15
The following is a meta-GGA SCAN calculation of AlIn2Tc at its PBEsol-relaxed geometry, from Alexandria.

Computed properties:
Energy relative to the elements = 0.12 eV per atom
Spin magnetization = 0.00 μB/f.u.

abc: 3.572 3.572 5.583
angles: 90.00 90.00 90.00
Fractional positions:
Al1 0.000 0.000 0.000
In1 0.500 0.500 0.256
In2 0.500 0.500 0.744
Tc1 0.000 0.000 0.500

---

No. 16
The following is a meta-GGA SCAN calculation of AlIn2Tc at its PBEsol-relaxed geometry, from Alexandria.

Computed properties:
Energy relative to the elements = 0.13 eV per atom
Spin magnetization = 0.00 μB/f.u.

abc: 5.118 5.118 5.118
angles: 133.38 133.38 68.06
Fractional positions:
Al1 0.000 0.000 0.000
In1 0.500 0.500 0.000
In2 0.750 0.250 0.500
Tc1 0.250 0.750 0.500

---

No. 17
The following is a meta-GGA SCAN calculation of AlIn2Tc at its PBEsol-relaxed geometry, from Alexandria.

Computed properties:
Energy relative to the elements = 0.21 eV per atom
Spin magnetization = 1.10 μB/f.u.

abc: 5.143 5.143 4.889
angles: 97.96 97.96 34.15
Fractional positions:
Al1 0.000 0.000 0.000
In1 0.239 0.239 0.740
In2 0.761 0.761 0.260
Tc1 0.500 0.500 0.500

---

No. 18
The following is a meta-GGA SCAN calculation of Al3InTe at its PBEsol-relaxed geometry, from Alexandria.

Computed properties:
Formation energy (no corrections) = 288 kJ/mol of formula units
Spin magnetization = 0.00 μB/f.u.

abc: 5.168 5.168 5.168
angles: 90.00 90.00 90.00
Fractional positions:
Al1 0.000 0.000 0.500
Al2 0.000 0.500 0.000
Al3 0.500 0.000 0.000
In1 0.000 0.000 0.000
Te1 0.500 0.500 0.500

---

No. 19
The following is a meta-GGA SCAN calculation of Al2In2Te at its PBEsol-relaxed geometry, from Alexandria.

Computed properties:
Formation energy (no corrections) = 90 kJ/mol of formula units
Spin magnetization = 0.00 μB/f.u.

abc: 7.216 7.216 7.216
angles: 145.60 145.60 49.44
Fractional positions:
Al1 0.097 0.097 0.000
Al2 0.903 0.903 0.000
In1 0.250 0.750 0.500
In2 0.750 0.250 0.500
Te1 0.500 0.500 0.000

---

No. 20
The following is a meta-GGA SCAN calculation of Al2InTe at its PBEsol-relaxed geometry, from Alexandria.

Computed properties:
Formation energy (no corrections) = 34 kJ/mol of formula units
Spin magnetization = 0.00 μB/f.u.

abc: 7.542 7.542 7.542
angles: 130.37 130.37 72.81
Fractional positions:
Al1 0.116 0.625 0.991
Al2 0.375 0.366 0.491
Al3 0.634 0.125 0.009
Al4 0.875 0.884 0.509
In1 0.000 0.000 0.000
In2 0.750 0.250 0.500
Te1 0.250 0.750 0.500
Te2 0.500 0.500 0.000

---

No. 21
The following is a meta-GGA SCAN calculation of Al2InTe at its PBEsol-relaxed geometry, from Alexandria.

Computed properties:
Formation energy (no corrections) = 25 kJ/mol of formula units
Spin magnetization = 0.00 μB/f.u.

abc: 7.864 7.864 7.864
angles: 28.18 28.18 28.18
Fractional positions:
Al1 0.000 0.000 0.000
Al2 0.258 0.258 0.258
In1 0.507 0.507 0.507
Te1 0.740 0.740 0.740

---

No. 22
The following is a meta-GGA SCAN calculation of Al2InTe at its PBEsol-relaxed geometry, from Alexandria.

Computed properties:
Formation energy (no corrections) = 127 kJ/mol of formula units
Spin magnetization = 0.00 μB/f.u.

abc: 5.039 5.039 5.039
angles: 60.00 60.00 60.00
Fractional positions:
Al1 0.000 0.000 0.000
Al2 0.250 0.250 0.250
In1 0.500 0.500 0.500
Te1 0.750 0.750 0.750

---

No. 23
The following is a meta-GGA SCAN calculation of TiAl3In at its PBEsol-relaxed geometry, from Alexandria.

Computed properties:
Energy relative to the elements = 1.10 eV per atom
Spin magnetization = 2.32 μB/f.u.

abc: 5.027 5.027 5.027
angles: 90.00 90.00 90.00
Fractional positions:
Ti1 0.000 0.000 0.000
Al1 0.000 0.500 0.500
Al2 0.500 0.000 0.500
Al3 0.500 0.500 0.000
In1 0.500 0.500 0.500

---

No. 24
The following is a meta-GGA SCAN calculation of AlTl3In at its PBEsol-relaxed geometry, from Alexandria.

Computed properties:
Energy relative to the elements = 0.26 eV per atom
Spin magnetization = 0.00 μB/f.u.

abc: 5.329 5.329 5.329
angles: 90.00 90.00 90.00
Fractional positions:
Al1 0.000 0.000 0.000
Tl1 0.000 0.000 0.500
Tl2 0.000 0.500 0.000
Tl3 0.500 0.000 0.000
In1 0.500 0.500 0.500

---

No. 25
The following is a meta-GGA SCAN calculation of Al4TlIn at its PBEsol-relaxed geometry, from Alexandria.

Computed properties:
Energy relative to the elements = 0.22 eV per atom
Spin magnetization = 0.00 μB/f.u.

abc: 5.584 5.584 5.584
angles: 60.00 60.00 60.00
Fractional positions:
Al1 0.125 0.125 0.125
Al2 0.125 0.125 0.625
Al3 0.125 0.625 0.125
Al4 0.625 0.125 0.125
Tl1 0.750 0.750 0.750
In1 0.500 0.500 0.500

---

No. 26
The following is a meta-GGA SCAN calculation of AlTl2In at its PBEsol-relaxed geometry, from Alexandria.

Computed properties:
Energy relative to the elements = 0.13 eV per atom
Spin magnetization = 0.00 μB/f.u.

abc: 3.362 3.575 8.311
angles: 90.00 90.00 90.00
Fractional positions:
Al1 0.000 0.000 0.000
Tl1 0.000 0.000 0.476
Tl2 0.500 0.500 0.771
In1 0.500 0.500 0.205

---

No. 27
The following is a meta-GGA SCAN calculation of Al3TlIn at its PBEsol-relaxed geometry, from Alexandria.

Computed properties:
Energy relative to the elements = 0.78 eV per atom
Spin magnetization = 0.00 μB/f.u.

abc: 5.193 5.193 5.193
angles: 90.00 90.00 90.00
Fractional positions:
Al1 0.000 0.000 0.500
Al2 0.000 0.500 0.000
Al3 0.500 0.000 0.000
Tl1 0.500 0.500 0.500
In1 0.000 0.000 0.000

---

No. 28
The following is a meta-GGA SCAN calculation of Al2TlIn at its PBEsol-relaxed geometry, from Alexandria.

Computed properties:
Energy relative to the elements = 0.25 eV per atom
Spin magnetization = 0.00 μB/f.u.

abc: 3.142 4.112 6.852
angles: 90.00 90.00 90.00
Fractional positions:
Al1 0.000 0.000 0.228
Al2 0.000 0.000 0.772
Tl1 0.500 0.500 0.500
In1 0.500 0.500 0.000

---

No. 29
The following is a meta-GGA SCAN calculation of AlTl2In at its PBEsol-relaxed geometry, from Alexandria.

Computed properties:
Energy relative to the elements = 0.21 eV per atom
Spin magnetization = 0.00 μB/f.u.

abc: 3.595 3.595 7.719
angles: 90.00 90.00 90.00
Fractional positions:
Al1 0.000 0.000 0.000
Tl1 0.500 0.500 0.230
Tl2 0.500 0.500 0.770
In1 0.000 0.000 0.500